1.
An optimized crystal structure of SmCu3, computed with PBE-GGA.

Cell and atoms, written as POSCAR:
```
SmCu3
1.0
-4.1294 0.3092 -0.6617
1.2233 -2.3832 4.5404
-0.0571 5.9168 3.1210
Cu Sm
6 2
Cartesian
-0.2513 2.7451 2.8506 Cu
-2.6905 -1.1264 2.9759 Cu
-2.4600 3.6587 3.7731 Cu
-0.5033 0.1841 3.2266 Cu
-2.7120 1.0977 4.1490 Cu
-0.2728 4.9691 4.0238 Cu
-2.2173 1.2673 1.1415 Sm
-0.7459 2.5754 5.8581 Sm
```

## Properties
D(E_F) ... 0.460 states/eV/atom
Final energy ... -4.4405 eV/atom
SG ... Cmcm (63)
Volume ... 16.96 Å³ per atom
Energy relative to the elements ... -18.19 kJ per mole of atoms

---

2.
An optimized crystal structure of SmBr, computed with PBE-GGA.

Cell and atoms, written as POSCAR:
```
SmBr
1.0
3.6081 0.0000 0.2984
0.0000 5.9492 0.0000
-0.4193 0.0000 5.0664
Br Sm
2 2
Cartesian
0.7420 1.4873 1.9958 Br
2.4468 4.4619 3.3690 Br
0.8542 4.4619 0.6533 Sm
2.3346 1.4873 4.7115 Sm
```

## Properties
D(E_F) ... 0.416 states/eV/atom
Final energy ... -4.2163 eV/atom
SG ... Pmmn (59)
Volume ... 27.37 Å³ per atom

---

3.
An optimized crystal structure of PrEuRh, computed with PBE-GGA.

Cell and atoms, written as POSCAR:
```
PrEuRh
1.0
3.5879 0.0000 0.0000
0.0000 3.5879 0.0000
-1.7940 -1.7940 6.7106
Rh Pr Eu
1 1 1
Cartesian
1.7940 1.7940 2.3352 Rh
0.0000 0.0000 3.8956 Pr
0.0000 0.0000 0.4798 Eu
```

## Properties
E above lowest polymorph ... 18 meV/atom
D(E_F) ... 3.317 states/eV/atom
Final energy ... -7.8455 eV/atom
SG ... I4mm (107)
Volume ... 28.80 Å³ per atom
Energy relative to the elements ... -36.38 kJ per mole of atoms